# 1
# Pr12Nd7Pb PBE-GGA optimized geometry
# formation enthalpy at 0 K	9.9	kJ per mole of atoms
# calculated volume	2134.6	Å³/cell
# mass density	6.8	g/cm3
data_Pr12Nd7Pb
_chemical_formula_sum 'Pr36 Nd21 Pb3'
_cell_length_a 12.5631
_cell_length_b 12.5631
_cell_length_c 15.6167
_cell_angle_alpha 90.00
_cell_angle_beta 90.00
_cell_angle_gamma 120.00
_space_group_name_H-M_alt 'R -3'
_space_group_IT_number 148
_space_group_name_Hall '-R 3'
loop_
_atom_site_label
_atom_site_fract_x
_atom_site_fract_y
_atom_site_fract_z
Pr1 0.0284 0.4452 0.2044
Pr2 0.0552 0.5859 0.5889
Nd1 0.0000 0.0000 0.0000
Nd2 0.0507 0.1831 0.3020
Pb1 0.0000 0.0000 0.5000

***

# 2
# Pr12NdPb3 PBE-GGA optimized geometry
# formation enthalpy at 0 K	-23.6	kJ per mole of atoms
# calculated volume	527.6	Å³/cell
# mass density	7.7	g/cm3
data_Pr12NdPb3
_chemical_formula_sum 'Pr12 Nd1 Pb3'
_cell_length_a 5.054
_cell_length_b 5.054
_cell_length_c 20.656
_cell_angle_alpha 90.00
_cell_angle_beta 90.00
_cell_angle_gamma 90.00
_space_group_name_H-M_alt 'P 4/m m m'
_space_group_IT_number 123
_space_group_name_Hall '-P 4 2'
loop_
_atom_site_label
_atom_site_fract_x
_atom_site_fract_y
_atom_site_fract_z
Pr1 0.000 0.000 0.000
Pr2 0.000 0.000 0.243
Pr3 0.000 0.000 0.500
Pr4 0.000 0.500 0.121
Pr5 0.000 0.500 0.368
Nd1 0.500 0.500 0.500
Pb1 0.500 0.500 0.000
Pb2 0.500 0.500 0.244

***

# 3
# PrNd5Pb3 PBE-GGA optimized geometry
# formation enthalpy at 0 K	-41.9	kJ per mole of atoms
# calculated volume	567.4	Å³/cell
# mass density	8.7	g/cm3
data_PrNd5Pb3
_chemical_formula_sum 'Pr2 Nd10 Pb6'
_cell_length_a 9.7900
_cell_length_b 9.7900
_cell_length_c 6.8359
_cell_angle_alpha 90.00
_cell_angle_beta 90.00
_cell_angle_gamma 120.00
_space_group_name_H-M_alt 'P 63/m c m'
_space_group_IT_number 193
_space_group_name_Hall '-P 6c 2'
loop_
_atom_site_label
_atom_site_fract_x
_atom_site_fract_y
_atom_site_fract_z
Pr1 0.0000 0.0000 0.0000
Nd1 0.0000 0.3335 0.2500
Nd2 0.3333 0.6667 0.0000
Pb1 0.0000 0.3338 0.7500

***

# 4
# Pr9NdPb2 PBE-GGA optimized geometry
# formation enthalpy at 0 K	-20.3	kJ per mole of atoms
# calculated volume	400.7	Å³/cell
# mass density	7.6	g/cm3
data_Pr9NdPb2
_chemical_formula_sum 'Pr9 Nd1 Pb2'
_cell_length_a 5.060
_cell_length_b 5.060
_cell_length_c 15.650
_cell_angle_alpha 90.00
_cell_angle_beta 90.00
_cell_angle_gamma 90.00
_space_group_name_H-M_alt 'P 4/m m m'
_space_group_IT_number 123
_space_group_name_Hall '-P 4 2'
loop_
_atom_site_label
_atom_site_fract_x
_atom_site_fract_y
_atom_site_fract_z
Pr1 0.000 0.000 0.000
Pr2 0.000 0.000 0.340
Pr3 0.000 0.500 0.175
Pr4 0.000 0.500 0.500
Nd1 0.500 0.500 0.000
Pb1 0.500 0.500 0.338

***

# 5
# PrNd5Pb4 PBE-GGA optimized geometry
# formation enthalpy at 0 K	-38.1	kJ per mole of atoms
# calculated volume	693.3	Å³/cell
# mass density	8.1	g/cm3
data_PrNd5Pb4
_chemical_formula_sum 'Pr2 Nd10 Pb8'
_cell_length_a 16.812
_cell_length_b 5.584
_cell_length_c 7.386
_cell_angle_alpha 90.00
_cell_angle_beta 90.16
_cell_angle_gamma 90.00
_space_group_name_H-M_alt 'C 1 2/m 1'
_space_group_IT_number 12
loop_
_space_group_symop_operation_xyz
'x,y,z'
'-x,-y,-z'
'-x,y,-z'
'x,-y,z'
'x+1/2,y+1/2,z'
'-x+1/2,-y+1/2,-z'
'-x+1/2,y+1/2,-z'
'x+1/2,-y+1/2,z'
loop_
_atom_site_label
_atom_site_fract_x
_atom_site_fract_y
_atom_site_fract_z
Pr1 0.000 0.000 0.000
Nd1 0.000 0.000 0.500
Nd2 0.166 0.500 0.509
Nd3 0.166 0.500 0.992
Pb1 0.009 0.500 0.251
Pb2 0.176 0.000 0.749

***

# 6
# Pr3NdPb5 PBE-GGA optimized geometry
# formation enthalpy at 0 K	-46.2	kJ per mole of atoms
# calculated volume	560.4	Å³/cell
# mass density	9.5	g/cm3
data_Pr3NdPb5
_chemical_formula_sum 'Pr6 Nd2 Pb10'
_cell_length_a 9.8483
_cell_length_b 9.8483
_cell_length_c 6.6715
_cell_angle_alpha 90.00
_cell_angle_beta 90.00
_cell_angle_gamma 120.00
_space_group_name_H-M_alt 'P 63/m c m'
_space_group_IT_number 193
_space_group_name_Hall '-P 6c 2'
loop_
_atom_site_label
_atom_site_fract_x
_atom_site_fract_y
_atom_site_fract_z
Pr1 0.0000 0.3794 0.2500
Nd1 0.0000 0.0000 0.0000
Pb1 0.0000 0.2898 0.7500
Pb2 0.3333 0.6667 0.0000

***

# 7
# PrNd2Pb PBE-GGA optimized geometry
# formation enthalpy at 0 K	-14.7	kJ per mole of atoms
# energy relative to the lowest polymorph listed for this composition	189	meV/atom
# calculated volume	406.7	Å³/cell
# mass density	7.8	g/cm3
data_PrNd2Pb
_chemical_formula_sum 'Pr3 Nd6 Pb3'
_cell_length_a 3.7014
_cell_length_b 3.7014
_cell_length_c 34.2789
_cell_angle_alpha 90.00
_cell_angle_beta 90.00
_cell_angle_gamma 120.00
_space_group_name_H-M_alt 'R 3 m'
_space_group_IT_number 160
_space_group_name_Hall 'R 3 -2"'
loop_
_atom_site_label
_atom_site_fract_x
_atom_site_fract_y
_atom_site_fract_z
Pr1 0.0000 0.0000 0.0000
Nd1 0.0000 0.0000 0.5788
Nd2 0.0000 0.0000 0.7546
Pb1 0.0000 0.0000 0.1664

***

# 8
# Pr2NdPb3 PBE-GGA optimized geometry
# formation enthalpy at 0 K	-50.2	kJ per mole of atoms
# energy relative to the lowest polymorph listed for this composition	6	meV/atom
# calculated volume	733.6	Å³/cell
# mass density	9.5	g/cm3
data_Pr2NdPb3
_chemical_formula_sum 'Pr8 Nd4 Pb12'
_cell_length_a 10.578
_cell_length_b 15.478
_cell_length_c 5.118
_cell_angle_alpha 90.00
_cell_angle_beta 118.89
_cell_angle_gamma 90.00
_space_group_name_H-M_alt 'C 1 2/c 1'
_space_group_IT_number 15
loop_
_space_group_symop_operation_xyz
'x,y,z'
'-x,-y,-z'
'-x,y,-z+1/2'
'x,-y,z+1/2'
'x+1/2,y+1/2,z'
'-x+1/2,-y+1/2,-z'
'-x+1/2,y+1/2,-z+1/2'
'x+1/2,-y+1/2,z+1/2'
loop_
_atom_site_label
_atom_site_fract_x
_atom_site_fract_y
_atom_site_fract_z
Pr1 0.000 0.083 0.250
Pr2 0.000 0.250 0.750
Nd1 0.000 0.417 0.250
Pb1 0.249 0.417 0.999
Pb2 0.250 0.250 0.500